The following is a GGA-PBE calculation of a relaxed SrLiAlZn crystal, from Alexandria.

Energy of formation from the pure elements, eV per atom: -0.216
Total energy, eV per formula unit: -9.477

Lattice parameters (Å, degrees): 4.5098 4.5098 16.5182 90.00 90.00 120.00
Space group R3m (No. 160, hexagonal axes)
Unique sites:
Sr (0.0000, 0.0000, 0.0000) (multiplicity 3)
Li (0.0000, 0.0000, 0.1943) (multiplicity 3)
Al (0.0000, 0.0000, 0.4833) (multiplicity 3)
Zn (0.0000, 0.0000, 0.8024) (multiplicity 3)